(1)
## ThTlCo (PBE)

Data for crystalline ThTlCo at its relaxed geometry.

```
ThTlCo
1.0
-1.5893 -3.4296 1.7815
3.3749 -0.9195 1.2405
-3.1730 4.9931 6.7817
Th Co Tl
2 2 2
Direct
0.2500 0.0828 0.1655
0.7500 0.9172 0.8345
0.2500 0.4469 0.8938
0.7500 0.5531 0.1062
0.2500 0.2925 0.5850
0.7500 0.7075 0.4150
```

Values from the calculation:
The calculation puts the final energy at -5.8783 eV/atom. As for the crystal system: orthorhombic. The density of states at the Fermi level comes out at 0.782 states/eV/atom.

***

(2)
## Th8Tl2Co (PBE)

Data for crystalline Th8Tl2Co at its relaxed geometry.

```
Th8Tl2Co
1.0
-2.5919 4.0947 -0.6140
-3.2774 -1.5863 3.2563
7.0403 5.9539 9.9863
Th Tl Co
8 2 1
Direct
0.5000 0.0000 0.1249
0.0000 0.5000 0.8751
0.5000 0.5000 0.6862
0.0000 0.5000 0.5000
0.5000 0.0000 0.5000
0.5000 0.0000 0.8751
0.0000 0.5000 0.1249
0.5000 0.5000 0.3138
0.0000 0.0000 0.6872
0.0000 0.0000 0.3128
0.0000 0.0000 0.0000
```

Values from the calculation:
The calculation puts the final energy at -6.4759 eV/atom. As for the crystal system: tetragonal. The density of states at the Fermi level comes out at 1.328 states/eV/atom.

***

(3)
## ThTlCo4 (PBE)

Data for crystalline ThTlCo4 at its relaxed geometry.

```
ThTlCo4
1.0
5.1093 0.0000 0.0000
2.5546 4.4248 0.0000
2.5546 1.4749 4.1717
Co Th Tl
4 1 1
Direct
0.1232 0.6256 0.6256
0.6256 0.1232 0.6256
0.6256 0.6256 0.1232
0.6256 0.6256 0.6256
0.2500 0.2500 0.2500
0.0000 0.0000 0.0000
```

Values from the calculation:
The calculation puts the final energy at -6.3438 eV/atom. As for the crystal system: cubic. The density of states at the Fermi level comes out at 1.694 states/eV/atom.

***

(4)
## Th7Tl2Co2 (PBE)

Data for crystalline Th7Tl2Co2 at its relaxed geometry.

```
Th7Tl2Co2
1.0
-1.9058 4.2838 -5.2265
-1.1959 -5.4892 -4.0624
-5.6290 -1.6348 3.8653
Th Co Tl
7 2 2
Direct
0.5002 0.7725 0.4998
0.0002 0.7494 0.4997
0.9998 0.2506 0.5003
0.0000 0.0000 0.0000
0.4998 0.2275 0.5002
0.4997 0.2506 0.0002
0.5003 0.7494 0.9998
0.2674 0.0000 0.7326
0.7326 0.0000 0.2674
0.8250 0.5000 0.8250
0.1750 0.5000 0.1750
```

Values from the calculation:
The calculation puts the final energy at -6.4555 eV/atom. As for the crystal system: orthorhombic. The density of states at the Fermi level comes out at 1.069 states/eV/atom.